Record 1
A geometry-optimized Cs2Ho2TiSe6 structure, computed with PBE.

Geometry as extended XYZ:
```
11
Lattice="-1.025 3.665 5.830 4.709 -5.128 -0.057 4.723 6.073 -4.470" Properties=species:S:1:pos:R:3 pbc="T T T"
Se 5.275 -0.540 2.174
Se 5.975 3.005 1.331
Se 4.890 2.454 -2.675
Se 2.432 1.604 -0.028
Se 3.517 2.155 3.979
Se 3.131 5.150 -0.870
Ti 2.362 3.037 -2.235
Cs -0.041 2.155 4.819
Cs 3.724 -3.618 0.954
Ho 5.163 0.833 -0.334
Ho 3.243 3.777 1.637
```

Properties
Formation energy without anion corrections   -1.54 eV per atom
Final energy   -5.148 eV/atom

Record 2
A geometry-optimized SrLa2MgIr structure, computed with PBE.

Geometry as extended XYZ:
```
5
Lattice="5.566 0.000 0.000 0.000 5.566 0.000 0.000 0.000 6.042" Properties=species:S:1:pos:R:3 pbc="T T T"
Mg 2.783 2.783 3.021
La 0.000 2.783 0.000
La 2.783 0.000 0.000
Ir 0.000 0.000 0.000
Sr 0.000 0.000 3.021
```

Properties
Energy of formation from the pure elements   -6.2 kcal/mol of atoms
Density of states at the Fermi level   0.937 states/eV per atom
Final energy   -4.668 eV/atom

Record 3
A geometry-optimized TiVTcW structure, computed with PBE.

Geometry as extended XYZ:
```
4
Lattice="-0.485 1.194 2.535 1.667 -2.010 1.266 6.270 4.593 -0.964" Properties=species:S:1:pos:R:3 pbc="T T T"
Tc 3.796 2.781 -0.583
V 5.591 3.255 1.132
Ti 2.966 1.331 1.536
W 0.253 0.960 1.191
```

Properties
Energy of formation from the pure elements   8.7 kcal/mol of atoms
Density of states at the Fermi level   1.219 states/eV per atom
Final energy   -9.707 eV/atom